The following is a PBE calculation of crystalline Er2InIr2 at its relaxed geometry, from Alexandria via LeMat-Bulk.

Values from the calculation:
Energy   -6.69 eV per atom
Energy relative to the elements   -0.7705 eV per atom
N(E_F)   14.016 states/eV/cell
Calculated density   12.88 g/cm³

Cell lengths 10.1757, 5.4287, 8.1825 Å; angles 90.00, 107.98, 90.00 degrees
Space group C2/c (No. 15)
Asymmetric unit:
1 Er 0.1458 0.1600 0.1486 [8 per cell]
2 In 0.0000 0.3390 0.7500 [4 per cell]
3 Ir 0.1411 0.3451 0.5137 [8 per cell]